# La2InCl SCAN PBEsol geometry
# ΔE to the lowest computed polymorph ... 162 meV/atom
# Calculated volume ... 114.01 Å³/f.u.
# E_form (uncorrected) ... -398 kJ/mol of formula units
# VASP energy ... -32.93 eV/atom
data_La2InCl
_cell_length_a 3.600
_cell_length_b 4.693
_cell_length_c 13.500
_cell_angle_alpha 90.00
_cell_angle_beta 90.00
_cell_angle_gamma 90.00
_space_group_name_H-M_alt 'I m m 2'
_space_group_IT_number 44
_space_group_name_Hall 'I 2 -2'
loop_
_atom_site_label
_atom_site_type_symbol
_atom_site_fract_x
_atom_site_fract_y
_atom_site_fract_z
La1 La 0.000 0.000 0.000
La2 La 0.000 0.500 0.229
In1 In 0.000 0.000 0.407
Cl1 Cl 0.000 0.500 0.675